The following is a DFT calculation (PBE) of a relaxed FeBr2Cl crystal.

a = 3.4669 Å, b = 6.5705 Å, c = 6.7547 Å
α = 61.74°, β = 90.00°, γ = 90.00°
Closest atoms and distances in Å follow each position.
Element x y z (fractional)
Fe  0.5000  0.8302  0.6588  3 Br 2.31-2.54, 2 Cl 2.40
Br  0.0000  0.8872  0.9040  2 Fe 2.54
Br  0.5000  0.1752  0.3290  1 Fe 2.31
Cl  0.0000  0.6073  0.6083  2 Fe 2.40

Properties
VASP energy in eV per atom: -3.92
ρ in Mg/m³: 3.077
E above lowest polymorph in eV/atom: 0.004
Raw formation energy in kJ/mol of formula units: -196
SG: Pm

***

The following is a DFT calculation (PBE) of a relaxed Fe2BrCl crystal.

a = 5.2090 Å, b = 5.2090 Å, c = 5.2090 Å
α = 145.22°, β = 109.49°, γ = 81.08°
Closest atoms and distances in Å follow each position.
Element x y z (fractional)
Fe  0.0093  0.0093  0.0000  2 Cl 2.46, 2 Br 2.58
Fe  0.4907  0.4907  0.0000  2 Cl 2.46, 2 Br 2.58
Br  0.7500  0.2500  0.5000  4 Fe 2.58
Cl  0.2500  0.7500  0.5000  4 Fe 2.46

Properties
VASP energy in eV per atom: -4.69
ρ in Mg/m³: 5.087
E above lowest polymorph in eV/atom: 0.541
Raw formation energy in kJ/mol of formula units: 162
SG: Immm

***

The following is a DFT calculation (PBE) of a relaxed FeBr2Cl crystal.

a = 6.8622 Å, b = 6.8622 Å, c = 6.8622 Å
α = 152.99°, β = 124.66°, γ = 62.63°
Closest atoms and distances in Å follow each position.
Element x y z (fractional)
Fe  0.2534  0.7534  0.5000  2 Cl 2.32, 2 Br 2.45
Br  0.0950  0.0950  0.0000  2 Fe 2.45
Br  0.7555  0.2555  0.5000  2 Br 3.20, 4 Fe 3.57, 2 Cl 3.59
Cl  0.3962  0.3962  0.0000  2 Fe 2.32

Properties
VASP energy in eV per atom: -3.64
ρ in Mg/m³: 3.482
E above lowest polymorph in eV/atom: 0.291
Raw formation energy in kJ/mol of formula units: -86
SG: Imm2

***

Q: What is the ρ in the third record?
A: 3.482 Mg/m³